[1]
Compound: Sm3Ga8Pd3
Source: the Alexandria database
Functional: GGA-PBE
Structure: optimized geometry

Unit cell a=4.437 b=8.225 c=8.336 alpha=67.88 beta=74.57 gamma=74.35
Positions (direct):
1 Ga 0.851 0.432 0.866
2 Ga 0.347 0.023 0.284
3 Ga 0.503 0.671 0.322
4 Ga 0.860 0.853 0.427
5 Ga 0.653 0.977 0.716
6 Ga 0.140 0.147 0.573
7 Ga 0.497 0.329 0.678
8 Ga 0.149 0.568 0.134
9 Sm 0.000 0.000 0.000
10 Sm 0.292 0.714 0.702
11 Sm 0.708 0.286 0.298
12 Pd 0.000 0.500 0.500
13 Pd 0.650 0.706 0.994
14 Pd 0.350 0.294 0.006

Output
* symmetry: C2/m (12)
* polymorph energy (0 for the lowest one): 0.0193 eV per atom
* energy relative to the elements: -0.70 eV per atom

***

[2]
Compound: Dy2PuScP4
Source: the Alexandria database
Functional: GGA-PBE
Structure: optimized geometry

Unit cell a=3.953 b=6.800 c=6.819 alpha=109.48 beta=90.00 gamma=90.00
Last column: magnetic moment on the atom in μB.
Positions (direct):
1 P 0.000 0.742 0.238  -0.05
2 P 0.500 0.252 0.241  -0.08
3 P 0.000 0.258 0.762  -0.05
4 P 0.500 0.748 0.759  -0.08
5 Dy 0.000 0.500 0.500  0.00
6 Dy 0.500 0.000 0.500  0.03
7 Sc 0.500 0.500 0.000  0.04
8 Pu 0.000 0.000 0.000  4.83

Output
* symmetry: P2/m (10)
* energy relative to the elements: -1.44 eV per atom

***

[3]
Compound: Cs2Au2I7
Source: the Alexandria database
Functional: GGA-PBE
Structure: optimized geometry

Unit cell a=5.893 b=10.473 c=10.473 alpha=113.57 beta=81.47 gamma=81.47
Positions (direct):
1 I 0.109 0.388 0.085
2 I 0.607 0.609 0.609
3 I 0.000 0.000 0.000
4 I 0.109 0.085 0.388
5 I 0.393 0.391 0.391
6 I 0.891 0.915 0.612
7 I 0.891 0.612 0.915
8 Au 0.864 0.781 0.781
9 Au 0.136 0.219 0.219
10 Cs 0.500 0.705 0.295
11 Cs 0.500 0.295 0.705

Output
* formation energy from raw total energies: -0.593 eV per atom
* symmetry: C2/m (12)

***

| no. | energy (eV/atom) |
| --- | --- |
| 1 | -4.55 |
| 2 | -7.88 |
| 3 | -2.33 |